Entry 1:
First-principles (PBE-GGA) data for crystalline LiAsHOs at its relaxed geometry, as listed in the Alexandria database.

a = 4.8132 Å, b = 3.2678 Å, c = 7.5445 Å
α = 90.00°, β = 101.15°, γ = 90.00°
Atoms (fractional coordinates):
Os (0.5360, 0.5000, 0.3621)
Li (0.9473, 0.5000, 0.7188)
Li (0.9473, 0.0000, 0.2188)
H (0.8848, 0.5000, 0.3970)
As (0.3712, 0.5000, 0.0476)
Os (0.5360, 0.0000, 0.8621)
As (0.3712, 0.0000, 0.5476)
H (0.8848, 0.0000, 0.8970)

Values from the calculation:
* polymorph energy (0 for the lowest one): 178.8 meV/atom
* space group: Cm

Entry 2:
First-principles (PBE-GGA) data for crystalline DyMgO at its relaxed geometry, as listed in the Alexandria database.

a = 3.6688 Å, b = 3.6688 Å, c = 11.5861 Å
α = 80.89°, β = 80.89°, γ = 60.00°
Atoms (fractional coordinates):
Dy (0.6226, 0.6226, 0.1321)
O (0.6925, 0.6925, 0.9224)
Mg (0.2036, 0.2036, 0.3893)
O (0.3075, 0.3075, 0.0776)
Mg (0.7964, 0.7964, 0.6107)
Dy (0.3774, 0.3774, 0.8679)

Values from the calculation:
* space group: R-3m
* uncorrected formation energy: -1.833 eV per atom

Entry 3:
First-principles (PBE-GGA) data for crystalline K2LiP at its relaxed geometry, as listed in the Alexandria database.

a = 5.0686 Å, b = 8.2227 Å, c = 8.4640 Å
α = 33.19°, β = 90.00°, γ = 90.00°
Atoms (fractional coordinates):
Li (0.5000, 0.2500, 0.2500)
K (0.0000, 0.6605, 0.6086)
P (0.5000, 0.7500, 0.7500)
K (0.0000, 0.8395, 0.8914)

Values from the calculation:
* ΔH_f (0 K): -0.22 eV per atom
* space group: P2/m